CaPmIr, relaxed, DFT PBE; energy above the most stable polymorph in this dataset = 46 kJ/mol of formula units; calculated volume = 95.6 Å³/cell; magnetic moment = 0.0000 μB per atom
1.0
-3.420 5.196 1.654
-3.006 -1.150 -2.605
-0.062 -1.292 3.933
Pm Ca Ir
1 1 1
direct
0.229 0.333 0.667
0.762 0.667 0.333
0.009 0.000 0.000

=====

CaPm8Ir6, relaxed, DFT PBE; calculated volume = 382.3 Å³/cell; magnetic moment = 0.0000 μB per atom; calculated total energy = -102.27 eV for the cell shown
1.0
-3.461 2.760 6.440
-4.282 -5.312 3.811
3.250 -2.498 6.653
Pm Ir Ca
8 6 1
direct
0.214 0.572 0.881
0.572 0.881 0.214
0.428 0.119 0.786
0.786 0.428 0.119
0.329 0.329 0.329
0.671 0.671 0.671
0.881 0.214 0.572
0.119 0.786 0.428
0.943 0.596 0.284
0.596 0.284 0.943
0.716 0.057 0.404
0.404 0.716 0.057
0.284 0.943 0.596
0.057 0.404 0.716
0.000 0.000 0.000

=====

CaPm3Ir, relaxed, DFT PBE; energy above the most stable polymorph in this dataset = 12 kJ/mol of formula units; calculated volume = 177.8 Å³/cell; magnetic moment = 0.0000 μB per atom
1.0
5.624 0.000 0.000
0.000 5.624 0.000
0.000 0.000 5.624
Pm Ir Ca
3 1 1
direct
0.500 0.000 0.000
0.000 0.000 0.500
0.000 0.500 0.000
0.000 0.000 0.000
0.500 0.500 0.500

=====

CaPm3Ir8, relaxed, DFT PBE; calculated volume = 224.0 Å³/cell; magnetic moment = 0.0000 μB per atom; calculated total energy = -95.14 eV for the cell shown
1.0
5.179 0.000 1.563
2.353 4.613 1.563
-0.004 -0.003 9.373
Ir Ca Pm
8 1 3
direct
0.188 0.188 0.437
0.437 0.938 0.187
0.938 0.938 0.688
0.437 0.938 0.688
0.687 0.687 0.938
0.437 0.437 0.187
0.938 0.437 0.688
0.938 0.437 0.187
0.874 0.874 0.377
0.502 0.502 0.495
0.998 0.998 0.006
0.376 0.376 0.873

=====

CaPm5Ir4, relaxed, DFT PBE; calculated volume = 254.9 Å³/cell; magnetic moment = 0.0001 μB per atom; calculated total energy = -66.83 eV for the cell shown
1.0
-2.598 -0.909 -4.123
2.258 -6.579 0.028
-4.624 -1.231 6.164
Pm Ir Ca
5 4 1
direct
0.161 0.011 0.323
0.168 0.512 0.336
0.839 0.989 0.677
0.500 0.500 0.000
0.832 0.488 0.664
0.670 0.749 0.340
0.995 0.738 0.991
0.005 0.262 0.009
0.330 0.251 0.660
0.500 0.000 0.000

=====

CaPmIrPt, relaxed, DFT PBE; calculated volume = 86.0 Å³/cell; magnetic moment = 0.0000 μB per atom; calculated total energy = -24.46 eV for the cell shown
1.0
-2.310 4.360 -0.463
-4.948 0.172 -0.210
-2.579 1.854 3.804
Pt Ca Ir Pm
1 1 1 1
direct
0.500 0.500 0.500
0.250 0.250 0.250
0.000 0.000 0.000
0.750 0.750 0.750

=====

CaPmIrRu, relaxed, DFT PBE; calculated volume = 82.2 Å³/cell; magnetic moment = 0.0000 μB per atom; calculated total energy = -25.30 eV for the cell shown
1.0
-2.443 -4.182 -0.598
0.332 -3.523 3.362
-3.827 -1.020 2.852
Ca Ir Pm Ru
1 1 1 1
direct
0.000 0.000 0.000
0.250 0.250 0.250
0.500 0.500 0.500
0.750 0.750 0.750

=====

CaPmIrSe, relaxed, DFT PBE; calculated volume = 90.8 Å³/cell; energy relative to the elements, uncorrected = -0.844 eV per atom; magnetic moment = 0.0000 μB per atom
1.0
-1.988 -0.599 4.598
-1.088 -4.626 1.694
2.760 -2.047 3.694
Ca Pm Se Ir
1 1 1 1
direct
0.500 0.500 0.500
0.000 0.000 0.000
0.750 0.750 0.750
0.250 0.250 0.250

=====

CaPmSmIr, relaxed, DFT PBE; calculated volume = 101.1 Å³/cell; magnetic moment = 0.0000 μB per atom; calculated total energy = -20.82 eV for the cell shown
1.0
5.229 0.000 0.000
2.615 4.529 0.000
2.615 1.510 4.270
Sm Ir Pm Ca
1 1 1 1
direct
0.500 0.500 0.500
0.750 0.750 0.750
0.000 0.000 0.000
0.250 0.250 0.250

=====

CaPmSnIr, relaxed, DFT PBE; calculated volume = 87.4 Å³/cell; magnetic moment = 0.0000 μB per atom; calculated total energy = -21.72 eV for the cell shown
1.0
4.981 0.000 0.000
2.490 4.314 0.000
2.490 1.438 4.067
Pm Ir Ca Sn
1 1 1 1
direct
0.750 0.750 0.750
0.500 0.500 0.500
0.000 0.000 0.000
0.250 0.250 0.250

=====

CaPmTlIr, relaxed, DFT PBE; energy above the most stable polymorph in this dataset = 0 kJ/mol of formula units; calculated volume = 102.2 Å³/cell; magnetic moment = 0.0000 μB per atom
1.0
-1.525 3.072 -0.578
-2.620 -0.906 2.100
4.139 3.293 6.585
Tl Ca Pm Ir
1 1 1 1
direct
0.000 0.000 0.069
0.500 0.500 0.780
0.500 0.500 0.372
0.000 0.000 0.564

=====

CaPmTlIr, relaxed, DFT PBE; energy above the most stable polymorph in this dataset = 39 kJ/mol of formula units; calculated volume = 97.4 Å³/cell; magnetic moment = 0.0000 μB per atom
1.0
-4.466 2.036 -1.606
-2.387 -1.954 -4.142
-4.397 -2.650 0.564
Ir Ca Pm Tl
1 1 1 1
direct
0.750 0.750 0.750
0.000 0.000 0.000
0.500 0.500 0.500
0.250 0.250 0.250

=====

CaPmYIr, relaxed, DFT PBE; calculated volume = 99.2 Å³/cell; magnetic moment = 0.0000 μB per atom; calculated total energy = -22.70 eV for the cell shown
1.0
5.196 0.000 0.000
2.598 4.500 0.000
2.598 1.500 4.243
Ir Pm Ca Y
1 1 1 1
direct
0.000 0.000 0.000
0.750 0.750 0.750
0.500 0.500 0.500
0.250 0.250 0.250

=====

CaPr3Ir, relaxed, DFT PBE; energy above the most stable polymorph in this dataset = 29 kJ/mol of formula units; calculated volume = 644.9 Å³/cell; magnetic moment = 0.0000 μB per atom
1.0
7.701 0.000 0.000
0.000 8.207 -0.078
0.000 -2.815 10.230
Ca Pr Ir
4 12 4
direct
0.954 0.700 0.251
0.046 0.300 0.749
0.454 0.300 0.249
0.546 0.700 0.751
0.127 0.089 0.395
0.627 0.911 0.105
0.873 0.911 0.605
0.506 0.210 0.623
0.296 0.580 0.028
0.204 0.580 0.528
0.704 0.420 0.972
0.494 0.790 0.377
0.994 0.210 0.123
0.006 0.790 0.877
0.796 0.420 0.472
0.373 0.089 0.895
0.239 0.941 0.106
0.761 0.059 0.894
0.739 0.059 0.394
0.261 0.941 0.606

=====

CaPr3Ir, relaxed, DFT PBE; energy above the most stable polymorph in this dataset = 0 kJ/mol of formula units; calculated volume = 330.8 Å³/cell; magnetic moment = 0.0000 μB per atom
1.0
3.933 0.000 0.000
0.000 8.982 -1.002
0.000 -0.252 9.393
Pr Ir Ca
6 2 2
direct
0.250 0.835 0.467
0.250 0.081 0.174
0.750 0.919 0.826
0.250 0.684 0.057
0.750 0.316 0.943
0.750 0.165 0.533
0.250 0.149 0.761
0.750 0.851 0.239
0.250 0.505 0.678
0.750 0.495 0.322

=====

Ca2PrIr9, relaxed, DFT PBE; calculated volume = 217.9 Å³/cell; magnetic moment = 0.0000 μB per atom; calculated total energy = -92.88 eV for the cell shown
1.0
5.146 0.000 1.531
2.345 4.580 1.531
0.044 0.027 9.262
Ir Ca Pr
9 2 1
direct
0.916 0.419 0.245
0.667 0.667 0.998
0.084 0.581 0.755
0.500 0.500 0.500
0.419 0.916 0.245
0.581 0.581 0.755
0.333 0.333 0.002
0.419 0.419 0.245
0.581 0.084 0.755
0.141 0.141 0.576
0.859 0.859 0.424
0.000 0.000 0.000

=====

CaPr3Ir8, relaxed, DFT PBE; calculated volume = 227.7 Å³/cell; magnetic moment = 0.0000 μB per atom; calculated total energy = -94.63 eV for the cell shown
1.0
5.439 0.000 0.000
2.720 4.711 0.000
2.720 1.570 8.886
Ir Ca Pr
8 1 3
direct
0.438 0.938 0.687
0.938 0.938 0.687
0.188 0.188 0.437
0.437 0.437 0.188
0.938 0.438 0.687
0.437 0.938 0.188
0.938 0.437 0.188
0.687 0.687 0.938
0.874 0.874 0.377
0.502 0.502 0.494
0.376 0.376 0.873
0.998 0.998 0.006

=====

CaPr3Ir2, relaxed, DFT PBE; calculated volume = 326.6 Å³/cell; magnetic moment = 0.0000 μB per atom; calculated total energy = -73.93 eV for the cell shown
1.0
-3.997 -1.032 2.583
4.143 -4.023 4.803
1.326 7.299 4.970
Pr Ir Ca
6 4 2
direct
0.000 0.990 0.086
0.500 0.643 0.167
0.500 0.143 0.833
0.000 0.490 0.914
0.000 0.355 0.338
0.000 0.855 0.662
0.500 0.255 0.154
0.500 0.755 0.846
0.000 0.245 0.666
0.000 0.745 0.334
0.500 0.011 0.413
0.500 0.511 0.587

=====

CaPr3Ir, relaxed, DFT PBE; energy above the most stable polymorph in this dataset = 31 kJ/mol of formula units; calculated volume = 185.6 Å³/cell; magnetic moment = 0.0000 μB per atom
1.0
5.704 0.000 0.000
0.000 5.704 0.000
0.000 0.000 5.704
Pr Ca Ir
3 1 1
direct
0.000 0.500 0.000
0.000 0.000 0.500
0.500 0.000 0.000
0.500 0.500 0.500
0.000 0.000 0.000

=====

CaPrIr4, relaxed, DFT PBE; calculated volume = 112.4 Å³/cell; magnetic moment = 0.0000 μB per atom; calculated total energy = -45.64 eV for the cell shown
1.0
5.417 0.000 0.000
2.708 4.691 0.000
2.708 1.564 4.423
Ir Ca Pr
4 1 1
direct
0.625 0.625 0.625
0.625 0.625 0.126
0.126 0.625 0.625
0.625 0.126 0.625
0.250 0.250 0.250
0.000 0.000 0.000

=====

Ca2Pr3Ir2, relaxed, DFT PBE; calculated volume = 208.5 Å³/cell; magnetic moment = 0.0000 μB per atom; calculated total energy = -39.04 eV for the cell shown
1.0
3.989 0.000 0.000
-1.994 6.326 -0.472
0.000 -3.543 8.528
Pr Ca Ir
3 2 2
direct
0.619 0.238 0.432
0.381 0.762 0.568
0.500 0.000 0.000
0.827 0.654 0.191
0.173 0.346 0.809
0.829 0.657 0.756
0.171 0.343 0.244

=====

Ca3PrIr, relaxed, DFT PBE; calculated volume = 341.3 Å³/cell; magnetic moment = 0.0000 μB per atom; calculated total energy = -41.99 eV for the cell shown
1.0
-5.192 5.064 -2.242
4.133 -1.587 -6.167
-2.948 -6.593 2.635
Ca Pr Ir
6 2 2
direct
0.696 0.450 0.146
0.750 0.551 0.693
0.250 0.449 0.307
0.142 0.943 0.693
0.304 0.550 0.854
0.858 0.057 0.307
0.699 0.055 0.754
0.301 0.945 0.246
0.388 0.236 0.624
0.612 0.764 0.376

=====

CaPrTlIr, relaxed, DFT PBE; calculated volume = 99.9 Å³/cell; magnetic moment = 0.0000 μB per atom; calculated total energy = -19.26 eV for the cell shown
1.0
-4.487 -0.010 -2.642
-3.864 -3.178 1.443
-4.307 1.958 2.175
Ir Pr Ca Tl
1 1 1 1
direct
0.000 0.000 0.000
0.750 0.750 0.750
0.250 0.250 0.250
0.500 0.500 0.500

=====

CaIrPt2, relaxed, DFT PBE; energy above the most stable polymorph in this dataset = 67 kJ/mol of formula units; calculated volume = 68.6 Å³/cell; magnetic moment = 0.0000 μB per atom
1.0
5.038 0.009 0.000
1.733 4.730 0.000
-3.385 -2.370 2.881
Pt Ir Ca
2 1 1
direct
0.250 0.750 0.500
0.000 0.000 0.000
0.750 0.250 0.500
0.500 0.500 0.000

=====

CaIrPt4, relaxed, DFT PBE; calculated volume = 105.9 Å³/cell; magnetic moment = 0.2052 μB per atom; calculated total energy = -35.86 eV for the cell shown
1.0
0.000 3.756 3.756
3.756 0.000 3.756
3.756 3.756 0.000
Pt Ir Ca
4 1 1
direct
0.374 0.877 0.374
0.374 0.374 0.374
0.374 0.374 0.877
0.877 0.374 0.374
0.000 0.000 0.000
0.750 0.750 0.750